No. 1
Na2LiRhF (GGA-PBE, relaxed); Fermi-level density of states = 2.1 states/eV per cell; M_tot = 0.00 Bohr magnetons per cell; offset from the most stable computed form = 0 meV per atom; space group = P4/mmm (123)
1.0
4.337 0.000 0.000
0.000 4.841 0.000
0.000 0.000 4.337
F Na Li Rh
1 2 1 1
Direct
0.000 0.000 0.000
0.000 0.000 0.500
0.500 0.000 0.000
0.500 0.500 0.500
0.000 0.500 0.000

No. 2
Cr2ReSe (GGA-PBE, relaxed); Fermi-level density of states = 4.5 states/eV per cell; M_tot = 3.79 Bohr magnetons per cell; offset from the most stable computed form = 345 meV per atom; space group = I4/mmm (139)
1.0
4.627 -0.003 0.000
1.366 4.420 0.000
-2.996 -2.209 2.747
Re Cr Se
1 2 1
Direct
0.250 0.750 0.500
0.500 0.500 0.000
0.000 0.000 0.000
0.750 0.250 0.500